[1]
# Cr2Ir2Br (PBE-GGA, optimized geometry)
# E_form (uncorrected) in eV/atom: 0.41
# Magnetization in μB per formula unit: 5.5
data_Cr2Ir2Br
_space_group_name_H-M_alt 'I 4/m m m'
_space_group_IT_number 139
_space_group_name_Hall '-I 4 2'
_cell_length_a 3.7015
_cell_length_b 3.7015
_cell_length_c 14.0085
_cell_angle_alpha 90.00
_cell_angle_beta 90.00
_cell_angle_gamma 90.00
loop_
_atom_site_label
_atom_site_fract_x
_atom_site_fract_y
_atom_site_fract_z
Cr1 0.0000 0.0000 0.1260
Ir1 0.0000 0.5000 0.2500
Br1 0.0000 0.0000 0.5000


[2]
# CrIrBr (PBE-GGA, optimized geometry)
# E_form (uncorrected) in eV/atom: 0.49
# Magnetization in μB per formula unit: 0.5
# Polymorph energy (0 for the lowest one) in eV/f.u.: 0.28
data_CrIrBr
_space_group_name_H-M_alt 'I 4 m m'
_space_group_IT_number 107
_space_group_name_Hall 'I 4 -2'
_cell_length_a 2.8923
_cell_length_b 2.8923
_cell_length_c 12.0929
_cell_angle_alpha 90.00
_cell_angle_beta 90.00
_cell_angle_gamma 90.00
loop_
_atom_site_label
_atom_site_fract_x
_atom_site_fract_y
_atom_site_fract_z
Cr1 0.0000 0.0000 0.0000
Ir1 0.0000 0.0000 0.6255
Br1 0.0000 0.0000 0.3598


[3]
# Cr2NiIrBr (PBE-GGA, optimized geometry)
# E_form (uncorrected) in eV/atom: 1.42
# Magnetization in μB per formula unit: 8.1
data_Cr2NiIrBr
_space_group_name_H-M_alt 'P 4/m m m'
_space_group_IT_number 123
_space_group_name_Hall '-P 4 2'
_cell_length_a 4.7509
_cell_length_b 4.7509
_cell_length_c 5.0697
_cell_angle_alpha 90.00
_cell_angle_beta 90.00
_cell_angle_gamma 90.00
loop_
_atom_site_label
_atom_site_fract_x
_atom_site_fract_y
_atom_site_fract_z
Cr1 0.0000 0.5000 0.0000
Ni1 0.0000 0.0000 0.5000
Ir1 0.5000 0.5000 0.0000
Br1 0.5000 0.5000 0.5000


[4]
# CrIrPt2Br (PBE-GGA, optimized geometry)
# E_form (uncorrected) in eV/atom: 1.45
# Magnetization in μB per formula unit: 4.5
data_CrIrPt2Br
_space_group_name_H-M_alt 'P 4/m m m'
_space_group_IT_number 123
_space_group_name_Hall '-P 4 2'
_cell_length_a 4.7201
_cell_length_b 4.7201
_cell_length_c 4.6202
_cell_angle_alpha 90.00
_cell_angle_beta 90.00
_cell_angle_gamma 90.00
loop_
_atom_site_label
_atom_site_fract_x
_atom_site_fract_y
_atom_site_fract_z
Cr1 0.0000 0.0000 0.0000
Ir1 0.5000 0.5000 0.0000
Pt1 0.0000 0.5000 0.5000
Br1 0.5000 0.5000 0.5000


[5]
# Rb2CrIrBr6 (PBE-GGA, optimized geometry)
# E_form (uncorrected) in eV/atom: -0.80
# Magnetization in μB per formula unit: 5.0
data_Rb2CrIrBr6
_space_group_name_H-M_alt 'I 4/m m m'
_space_group_IT_number 139
_space_group_name_Hall '-I 4 2'
_cell_length_a 7.4662
_cell_length_b 7.4662
_cell_length_c 10.5789
_cell_angle_alpha 90.00
_cell_angle_beta 90.00
_cell_angle_gamma 90.00
loop_
_atom_site_label
_atom_site_fract_x
_atom_site_fract_y
_atom_site_fract_z
Rb1 0.0000 0.5000 0.2500
Cr1 0.0000 0.0000 0.0000
Ir1 0.0000 0.0000 0.5000
Br1 0.0000 0.0000 0.2561
Br2 0.2448 0.2448 0.5000


[6]
# CrSiIr2Br (PBE-GGA, optimized geometry)
# E_form (uncorrected) in eV/atom: 1.31
# Magnetization in μB per formula unit: 0.9
data_CrSiIr2Br
_space_group_name_H-M_alt 'P 4/m m m'
_space_group_IT_number 123
_space_group_name_Hall '-P 4 2'
_cell_length_a 4.5836
_cell_length_b 4.5836
_cell_length_c 4.6368
_cell_angle_alpha 90.00
_cell_angle_beta 90.00
_cell_angle_gamma 90.00
loop_
_atom_site_label
_atom_site_fract_x
_atom_site_fract_y
_atom_site_fract_z
Cr1 0.0000 0.0000 0.0000
Si1 0.5000 0.5000 0.5000
Ir1 0.0000 0.5000 0.0000
Br1 0.0000 0.0000 0.5000


- Which of these has the lowest E_form (uncorrected)?
  Rb2CrIrBr6